Ac6Hg3Ir2S: relaxed, GGA-PBE.

calculated density = 9.76 g/cm3
symmetry = No. 12
calculated volume = 33.742 A^3/atom
formation energy from raw total energies = -0.79 eV/atom

Unit cell a=7.612 b=7.612 c=8.453 alpha=98.55 beta=98.55 gamma=120.02
Element x y z (fractional)
Ac 0.083 0.430 0.790
Ac 0.222 0.222 0.201
Ac 0.430 0.083 0.790
Ac 0.570 0.917 0.210
Ac 0.778 0.778 0.799
Ac 0.917 0.570 0.210
Hg 0.000 0.000 0.500
Hg 0.346 0.654 0.500
Hg 0.654 0.346 0.500
Ir 0.168 0.832 0.000
Ir 0.832 0.168 0.000
S 0.500 0.500 0.000

Dy3Sb2S2: relaxed, GGA-PBE.

calculated density = 6.14 g/cm3
symmetry = No. 12
calculated volume = 30.742 A^3/atom
formation energy from raw total energies = -1.35 eV/atom

Unit cell a=15.313 b=4.052 c=7.670 alpha=90.00 beta=115.26 gamma=90.00
Element x y z (fractional)
Dy 0.000 0.000 0.000
Dy 0.222 0.500 0.760
Dy 0.278 0.000 0.240
Dy 0.500 0.500 0.000
Dy 0.722 0.000 0.760
Dy 0.778 0.500 0.240
Sb 0.132 0.500 0.312
Sb 0.368 0.000 0.688
Sb 0.632 0.000 0.312
Sb 0.868 0.500 0.688
S 0.139 0.000 0.860
S 0.361 0.500 0.140
S 0.639 0.500 0.860
S 0.861 0.000 0.140